DFT (PBE-GGA) results for crystalline LaInAg2 at its relaxed geometry.

Its formation energy is 0.038 eV per atom. The value obtained for the raw total energy is -39.7 eV per cell. Its calculated volume is 25.25 Å³ per atom.

The structure belongs to space group R-3m (No. 166, hexagonal axes); the cell edges are 3.5076, 3.5076 and 28.4346 Å and the angles 90.00°, 90.00° and 120.00°. Symmetry generates all atoms from La at (0.0000, 0.0000, 0.0000), In at (0.0000, 0.0000, 0.5000) and Ag at (0.0000, 0.0000, 0.2423).